A relaxed structure of TbVF, computed with PBE+U.

Output
Energy in eV for the cell shown: -33.838
Total magnetic moment in μB/cell: 6.595
Space-group type: Cm
Crystal system: monoclinic

Lattice parameters (Å, degrees): 3.6040 3.6040 10.9511 99.56 99.56 60.24
Closest atoms and distances in Å follow each position.
Positions (direct):
Tb 0.0000 0.0000 0.0000  4 F 2.39-2.65
Tb 0.5451 0.5451 0.6439  4 F 2.39-2.64
V 0.1440 0.1440 0.4242  3 V 3.02-3.06, 3 Tb 3.12-3.16
V 0.4139 0.4139 0.2189  3 V 3.02-3.06, 3 Tb 3.13-3.17
F 0.6293 0.6293 0.8899  4 Tb 2.39-2.64, 3 F 2.55
F 0.9178 0.9178 0.7534  4 Tb 2.39-2.65, 3 F 2.55